TiNiO2 (PBE+U, relaxed); total DFT energy (no corrections) = -6.532 eV per atom; E above lowest polymorph = 1.25 eV per formula unit
1.0
-1.215 0.949 -4.112
-1.407 -4.125 -0.536
-5.669 -0.307 -0.741
O Ti Ni
4 2 2
Direct
0.153 0.625 0.250
0.875 0.847 0.750
0.375 0.403 0.750
0.597 0.125 0.250
0.250 0.750 0.500
0.500 0.500 0.000
0.000 0.000 0.000
0.750 0.250 0.500